[1]
DFT (GGA-PBE) results for a relaxed structure of Rb6HF5.

Cell and atoms, written as extended XYZ:
```
12
Lattice="3.5377 -6.1260 0.0000 3.5377 6.1260 0.0000 -2.3598 0.0000 6.6696" Properties=species:S:1:pos:R:3 pbc="T T T"
Rb -0.0212 2.0762 4.9905
Rb 1.1381 0.0000 1.6977
Rb -0.0212 -2.0762 4.9905
Rb 4.7368 2.0762 1.6791
Rb 3.5775 0.0000 4.9718
Rb 4.7368 -2.0762 1.6791
H 3.5377 0.0000 0.0000
F -1.1799 0.0000 3.3348
F 3.5377 4.0808 0.0000
F 2.3578 2.0375 3.3348
F 2.3578 -2.0375 3.3348
F 3.5377 -4.0808 0.0000
```

The symmetry is C2/m, No. 12.

---

[2]
DFT (GGA-PBE) results for a relaxed structure of Li3PmGa3.

Cell and atoms, written as extended XYZ:
```
14
Lattice="7.2781 0.0000 0.0000 0.0000 4.3980 0.0000 -2.9366 0.0000 8.7705" Properties=species:S:1:pos:R:3 pbc="T T T"
Li -0.5102 1.0995 2.2074
Li -1.4039 1.0995 8.2735
Li 1.1665 3.2985 2.5205
Li 3.1750 1.0995 6.2500
Li 5.7454 3.2985 0.4970
Li 4.8516 3.2985 6.5631
Pm 0.6846 3.2985 6.2254
Pm 3.6568 1.0995 2.5451
Ga -1.3380 1.0995 5.1408
Ga 1.2439 1.0995 4.2055
Ga 2.9231 3.2985 0.4319
Ga 1.4183 1.0995 8.3386
Ga 3.0975 3.2985 4.5650
Ga 5.6795 3.2985 3.6297
```

The symmetry is P2_1/m, No. 11. The calculation puts the formation energy at -0.3403 eV/atom. The energy above the most stable polymorph in this dataset is 0 meV per atom.

---

[3]
DFT (GGA-PBE) results for a relaxed structure of Ca3SbP2Pt9.

Cell and atoms, written as extended XYZ:
```
15
Lattice="6.3858 0.0000 0.0000 -3.1929 5.5303 0.0000 0.0000 0.0000 8.9934" Properties=species:S:1:pos:R:3 pbc="T T T"
Ca 0.0000 0.0000 0.0000
Ca 0.0000 3.6868 6.3491
Ca 3.1929 1.8434 2.6443
Sb 0.0000 0.0000 4.4967
P 0.0000 3.6868 1.5479
P 3.1929 1.8434 7.4455
Pt -1.5965 2.7651 0.0000
Pt 0.0000 1.6256 2.4171
Pt -1.7851 4.7175 2.4171
Pt 1.4078 0.8128 6.5763
Pt 3.1929 0.0000 0.0000
Pt 1.5965 2.7651 0.0000
Pt 1.7851 4.7175 2.4171
Pt 4.9780 0.8128 6.5763
Pt 3.1929 3.9046 6.5763
```

The symmetry is P-3m1, No. 164. As for the uncorrected formation energy: -0.62 eV per atom.

---

[4]
DFT (GGA-PBE) results for a relaxed structure of Cr2SiCl.

Cell and atoms, written as extended XYZ:
```
4
Lattice="-1.4755 1.7578 6.1708 1.4755 -1.7578 6.1708 1.4755 1.7578 -6.1708" Properties=species:S:1:pos:R:3 pbc="T T T"
Cr 0.0000 0.0000 0.0000
Cr 0.0000 1.7578 3.6408
Si 0.0000 0.0000 5.2818
Cl 1.4755 0.0000 2.0615
```

The symmetry is Imm2, No. 44. As for the uncorrected formation energy: 0.15 eV per atom. The energy above the most stable polymorph in this dataset is 144 meV per atom.

---

[5]
DFT (GGA-PBE) results for a relaxed structure of Ac2Pu2S7.

Cell and atoms, written as extended XYZ:
```
22
Lattice="0.0000 6.7168 6.7168 6.7168 0.0000 6.7168 6.7168 6.7168 0.0000" Properties=species:S:1:pos:R:3 pbc="T T T"
Ac 0.0000 0.0000 0.0000
Ac 3.3584 3.3584 0.0000
Ac 3.3584 0.0000 3.3584
Ac 0.0000 3.3584 3.3584
Pu 6.7168 3.3584 3.3584
Pu 3.3584 6.7168 3.3584
Pu 3.3584 3.3584 6.7168
Pu 6.7168 6.7168 6.7168
S 1.6792 1.6792 1.6792
S 5.0376 5.0376 2.1225
S 5.0376 2.1225 5.0376
S 7.9528 5.0376 5.0376
S 8.3960 8.3960 5.4809
S 8.3960 5.4809 8.3960
S 11.3112 8.3960 8.3960
S 2.1225 5.0376 5.0376
S 5.0376 7.9528 5.0376
S 5.0376 5.0376 7.9528
S 5.4809 8.3960 8.3960
S 8.3960 11.3112 8.3960
S 8.3960 8.3960 11.3112
S 11.7545 11.7545 11.7545
```

The symmetry is Fd-3m, No. 227. As for the uncorrected formation energy: -1.75 eV per atom. The energy above the most stable polymorph in this dataset is 0 meV per atom.

---

[6]
DFT (GGA-PBE) results for a relaxed structure of BaTb2MnN4.

Cell and atoms, written as extended XYZ:
```
16
Lattice="1.7500 -6.0985 0.0000 1.7500 6.0985 0.0000 0.0000 0.0000 11.7952" Properties=species:S:1:pos:R:3 pbc="T T T"
Ba 1.7500 4.9783 8.8464
Ba 1.7500 -4.9783 2.9488
Tb 1.7500 1.5970 6.4031
Tb 1.7500 1.5970 11.2897
Tb 1.7500 -1.5970 0.5055
Tb 1.7500 -1.5970 5.3921
Mn 1.7500 3.9221 2.9488
Mn 1.7500 -3.9221 8.8464
N 0.0000 0.0000 0.0000
N 0.0000 0.0000 5.8976
N 1.7500 2.9706 1.4178
N 1.7500 2.9706 4.4798
N 1.7500 1.3299 8.8464
N 1.7500 -1.3299 2.9488
N 1.7500 -2.9706 7.3154
N 1.7500 -2.9706 10.3774
```

The symmetry is Cmcm, No. 63. As for the uncorrected formation energy: -1.08 eV per atom.

---

[7]
DFT (GGA-PBE) results for a relaxed structure of LiAg2As.

Cell and atoms, written as extended XYZ:
```
4
Lattice="3.0070 0.0000 0.0000 0.0000 4.0678 0.0000 0.0000 0.0000 5.6519" Properties=species:S:1:pos:R:3 pbc="T T T"
Li 0.0000 0.0000 0.0000
Ag 0.0000 0.0000 2.9009
Ag 1.5035 2.0339 1.4317
As 1.5035 2.0339 4.3655
```

The symmetry is Pmm2, No. 25. The calculation puts the formation energy at -0.1270 eV/atom.

---

[8]
DFT (GGA-PBE) results for a relaxed structure of BaFe2Os.

Cell and atoms, written as extended XYZ:
```
4
Lattice="-1.5088 2.7716 5.0479 1.5088 -2.7716 5.0479 1.5088 2.7716 -5.0479" Properties=species:S:1:pos:R:3 pbc="T T T"
Ba 0.0000 0.0000 0.0000
Fe 1.5088 0.0000 3.0501
Fe 0.0000 2.7716 1.9978
Os 0.0000 0.0000 5.0479
```

The symmetry is Immm, No. 71. The calculation puts the formation energy at 1.0659 eV/atom. The energy above the most stable polymorph in this dataset is 667 meV per atom.

---

[9]
DFT (GGA-PBE) results for a relaxed structure of Pr3Si2Pt.

Cell and atoms, written as extended XYZ:
```
24
Lattice="11.9027 0.0000 0.0000 0.0000 4.3558 0.0000 0.0000 0.0000 11.8924" Properties=species:S:1:pos:R:3 pbc="T T T"
Pr 0.7155 1.0890 1.4393
Pr 1.3995 3.2669 6.6525
Pr 2.4445 1.0890 9.5938
Pr 3.5068 3.2669 3.6476
Pr 4.5519 1.0890 0.7063
Pr 5.2359 3.2669 7.3855
Pr 6.6668 1.0890 4.5069
Pr 7.3508 3.2669 11.1861
Pr 8.3959 1.0890 8.2448
Pr 9.4582 3.2669 2.2986
Pr 10.5032 1.0890 5.2399
Pr 11.1872 3.2669 10.4531
Si 0.3349 3.2669 3.6989
Si 2.3312 3.2669 11.8146
Si 3.6202 1.0890 5.8684
Si 5.6164 1.0890 9.6450
Si 6.2863 3.2669 2.2473
Si 8.2825 3.2669 6.0239
Si 9.5716 1.0890 0.0778
Si 11.5678 1.0890 8.1935
Pt 1.5467 1.0890 4.3390
Pt 4.4046 3.2669 10.2852
Pt 7.4981 1.0890 1.6072
Pt 10.3560 3.2669 7.5534
```

The symmetry is Pnma, No. 62. As for the uncorrected formation energy: -0.83 eV per atom.

---

[10]
DFT (GGA-PBE) results for a relaxed structure of Ce4HPb2.

Cell and atoms, written as extended XYZ:
```
7
Lattice="2.4357 -7.9777 0.0000 2.4357 7.9777 0.0000 0.0000 0.0000 4.5785" Properties=species:S:1:pos:R:3 pbc="T T T"
Ce 0.0000 0.0000 0.0000
Ce 2.4357 5.0963 2.2892
Ce 2.4357 0.0000 2.2892
Ce 2.4357 -5.0963 2.2892
H 0.0000 0.0000 2.2892
Pb 2.4357 2.4165 0.0000
Pb 2.4357 -2.4165 0.0000
```

The symmetry is Cmmm, No. 65. The energy above the most stable polymorph in this dataset is 1 meV per atom.

---

[11]
DFT (GGA-PBE) results for a relaxed structure of TaVRh.

Cell and atoms, written as extended XYZ:
```
6
Lattice="2.9573 0.0000 0.0000 0.0000 2.9573 0.0000 0.0000 0.0000 10.4254" Properties=species:S:1:pos:R:3 pbc="T T T"
Ta 0.0000 0.0000 0.0000
Ta 0.0000 0.0000 3.7345
V 0.0000 0.0000 6.9070
V 1.4787 1.4787 5.4439
Rh 1.4787 1.4787 1.9476
Rh 1.4787 1.4787 8.4870
```

The symmetry is P4mm, No. 99. The calculation puts the formation energy at -0.3202 eV/atom. The energy above the most stable polymorph in this dataset is 0 meV per atom.

---

[12]
DFT (GGA-PBE) results for a relaxed structure of Sn2Ge3Pd8.

Cell and atoms, written as extended XYZ:
```
13
Lattice="4.9050 -4.2750 0.0000 4.9050 4.2750 0.0000 -3.5490 0.0000 6.1383" Properties=species:S:1:pos:R:3 pbc="T T T"
Sn 1.5948 0.0000 0.7216
Sn 4.6662 0.0000 5.4167
Ge 3.1305 2.1683 3.0691
Ge 4.9050 0.0000 0.0000
Ge 3.1305 -2.1683 3.0691
Pd -0.7179 0.0000 2.1441
Pd 3.6407 1.9594 0.6779
Pd 2.6203 1.9594 5.4604
Pd 1.7744 0.0000 3.5151
Pd 4.4866 0.0000 2.6231
Pd 3.6407 -1.9594 0.6779
Pd 2.6203 -1.9594 5.4604
Pd 6.9789 0.0000 3.9942
```

The symmetry is C2/m, No. 12. The calculation puts the formation energy at -0.2486 eV/atom.

---

In the order shown, the computed DFT total energy values come out to -3.795 -3.136 -5.639 -6.477 -7.726 -7.789 -3.193 -6.454 -6.031 -5.294 -9.761 -5.126 eV per atom.